Entry 1:
Material: MgPa2Rh
Method: DFT, PBE-GGA
State: relaxed

Lattice parameters (Å, degrees): 3.090 3.090 11.280 82.13 82.13 60.00
Fractional coordinates of all 4 atoms:
Mg 0.000 0.000 0.000
Pa 0.097 0.097 0.710
Pa 0.903 0.903 0.290
Rh 0.500 0.500 0.500

Calculated values
V (Å³/cell): 92.1
Formation energy (meV/atom): 77.4
Total magnetization (μB per formula unit): 0.00


Entry 2:
Material: CoOs3Se
Method: DFT, PBE-GGA
State: relaxed

Lattice parameters (Å, degrees): 4.476 4.476 4.476 90.00 90.00 90.00
Fractional coordinates of all 5 atoms:
Co 0.500 0.500 0.500
Os 0.000 0.500 0.000
Os 0.000 0.000 0.500
Os 0.500 0.000 0.000
Se 0.000 0.000 0.000

Calculated values
Polymorph energy (0 for the lowest one) (meV per atom): 102
V (Å³/cell): 89.7
Total magnetization (μB per formula unit): 0.00


Entry 3:
Material: TbSm12Tm2
Method: DFT, PBE-GGA
State: relaxed

Lattice parameters (Å, degrees): 6.766 6.766 24.774 90.00 90.00 116.28
Fractional coordinates of all 30 atoms:
Tb 0.500 0.000 0.999
Tb 0.000 0.500 0.001
Sm 0.500 0.500 0.801
Sm 0.000 0.000 0.801
Sm 0.751 0.749 0.925
Sm 0.251 0.751 0.870
Sm 0.000 0.000 0.325
Sm 0.249 0.749 0.130
Sm 0.767 0.267 0.587
Sm 0.500 0.500 0.325
Sm 0.249 0.251 0.925
Sm 0.749 0.751 0.075
Sm 0.273 0.227 0.560
Sm 0.733 0.233 0.413
Sm 0.000 0.000 0.675
Sm 0.227 0.273 0.440
Sm 0.251 0.249 0.075
Sm 0.773 0.727 0.440
Sm 0.727 0.773 0.560
Sm 0.000 0.000 0.199
Sm 0.233 0.733 0.587
Sm 0.500 0.500 0.675
Sm 0.749 0.249 0.870
Sm 0.500 0.500 0.199
Sm 0.267 0.767 0.413
Sm 0.751 0.251 0.130
Tm 0.500 0.000 0.266
Tm 0.000 0.500 0.269
Tm 0.000 0.500 0.734
Tm 0.500 0.000 0.731

Calculated values
V (Å³/cell): 1017.0
Formation energy (meV/atom): 164.4
Total magnetization (μB per formula unit): 0.00


- What is the V in the third record?
  1017.0 Å³/cell